{
  "formula": "Co2NiAs",
  "functional": "GGA-PBE",
  "state": "optimized geometry",
  "m_tot_mub_per_fu": 2.8,
  "total_energy_ha_per_atom": -0.2209,
  "formation_energy_ev_per_atom": 0.149,
  "n_ef_per_ev_cell": 5.89,
  "lattice_angstrom": [[-3.275, 0.902, -3.463], [1.584, -4.540, 0.644], [-2.185, -1.356, 0.789]],
  "species": ["As", "Co", "Co", "Ni"],
  "frac_coords": [[0.000, 0.500, 0.500], [0.000, 0.000, 0.000], [0.500, 0.500, 0.000], [0.500, 0.000, 0.500]]
}